(1)
The following is a DFT calculation (GGA-PBEsol) of a relaxed structure of KLi2Re.

Energy of formation from the pure elements, eV per atom: 0.818
Energy above the most stable polymorph in this dataset, eV per formula unit: 0.516
Volume, A^3/atom: 20.58
Spin magnetization, Bohr magnetons per cell: 0.3

The structure in CIF format:
```
data_KLi2Re
_chemical_formula_sum 'K2 Li4 Re2'
_cell_length_a 9.477
_cell_length_b 2.570
_cell_length_c 6.768
_cell_angle_alpha 90.00
_cell_angle_beta 92.64
_cell_angle_gamma 90.00
_symmetry_space_group_name_H-M 'C 1 2/m 1'
_symmetry_Int_Tables_number 12
loop_
_symmetry_equiv_pos_as_xyz
'x,y,z'
'-x,-y,-z'
'-x,y,-z'
'x,-y,z'
'x+1/2,y+1/2,z'
'-x+1/2,-y+1/2,-z'
'-x+1/2,y+1/2,-z'
'x+1/2,-y+1/2,z'
loop_
_atom_site_label
_atom_site_type_symbol
_atom_site_fract_x
_atom_site_fract_y
_atom_site_fract_z
K1 K 0.000 0.000 0.000
Li1 Li 0.239 0.000 0.661
Re1 Re 0.000 0.500 0.500
```

***

(2)
The following is a DFT calculation (GGA-PBEsol) of a relaxed structure of KLiRh2.

Energy of formation from the pure elements, eV per atom: 0.605
Energy above the most stable polymorph in this dataset, eV per formula unit: 0.828
Volume, A^3/atom: 18.78
Spin magnetization, Bohr magnetons per cell: 0.0

The structure in CIF format:
```
data_KLiRh2
_chemical_formula_sum 'K2 Li2 Rh4'
_cell_length_a 2.741
_cell_length_b 5.318
_cell_length_c 10.306
_cell_angle_alpha 90.00
_cell_angle_beta 90.00
_cell_angle_gamma 90.00
_symmetry_space_group_name_H-M 'I m m 2'
_symmetry_Int_Tables_number 44
loop_
_symmetry_equiv_pos_as_xyz
'x,y,z'
'-x,-y,z'
'-x,y,z'
'x,-y,z'
'x+1/2,y+1/2,z+1/2'
'-x+1/2,-y+1/2,z+1/2'
'-x+1/2,y+1/2,z+1/2'
'x+1/2,-y+1/2,z+1/2'
loop_
_atom_site_label
_atom_site_type_symbol
_atom_site_fract_x
_atom_site_fract_y
_atom_site_fract_z
K1 K 0.000 0.000 0.000
Li1 Li 0.000 0.500 0.787
Rh1 Rh 0.000 0.000 0.516
Rh2 Rh 0.000 0.500 0.216
```

***

(3)
The following is a DFT calculation (GGA-PBEsol) of a relaxed structure of KLiRh2.

Energy of formation from the pure elements, eV per atom: 0.698
Energy above the most stable polymorph in this dataset, eV per formula unit: 1.201
Volume, A^3/atom: 16.83
Spin magnetization, Bohr magnetons per cell: 6.0

The structure in CIF format:
```
data_KLiRh2
_chemical_formula_sum 'K4 Li4 Rh8'
_cell_length_a 6.457
_cell_length_b 6.457
_cell_length_c 6.457
_cell_angle_alpha 90.00
_cell_angle_beta 90.00
_cell_angle_gamma 90.00
_symmetry_space_group_name_H-M 'F -4 3 m'
_symmetry_Int_Tables_number 216
_symmetry_space_group_name_Hall 'F -4 2 3'
loop_
_atom_site_label
_atom_site_type_symbol
_atom_site_fract_x
_atom_site_fract_y
_atom_site_fract_z
K1 K 0.000 0.000 0.000
Li1 Li 0.250 0.250 0.750
Rh1 Rh 0.000 0.000 0.500
Rh2 Rh 0.250 0.250 0.250
```

***

(4)
The following is a DFT calculation (GGA-PBEsol) of a relaxed structure of KLiRh2.

Energy of formation from the pure elements, eV per atom: 0.482
Energy above the most stable polymorph in this dataset, eV per formula unit: 0.336
Volume, A^3/atom: 16.54
Spin magnetization, Bohr magnetons per cell: 0.0

The structure in CIF format:
```
data_KLiRh2
_chemical_formula_sum 'K1 Li1 Rh2'
_cell_length_a 2.736
_cell_length_b 4.868
_cell_length_c 5.020
_cell_angle_alpha 90.00
_cell_angle_beta 98.38
_cell_angle_gamma 90.00
_symmetry_space_group_name_H-M 'P 1 2/m 1'
_symmetry_Int_Tables_number 10
loop_
_symmetry_equiv_pos_as_xyz
'x,y,z'
'-x,-y,-z'
'-x,y,-z'
'x,-y,z'
loop_
_atom_site_label
_atom_site_type_symbol
_atom_site_fract_x
_atom_site_fract_y
_atom_site_fract_z
K1 K 0.000 0.000 0.000
Li1 Li 0.500 0.000 0.500
Rh1 Rh 0.310 0.500 0.720
```

***

(5)
The following is a DFT calculation (GGA-PBEsol) of a relaxed structure of KLiRh3.

Energy of formation from the pure elements, eV per atom: 2.165
Volume, A^3/atom: 20.43
Spin magnetization, Bohr magnetons per cell: 2.3

The structure in CIF format:
```
data_KLiRh3
_chemical_formula_sum 'K1 Li1 Rh3'
_cell_length_a 4.674
_cell_length_b 4.674
_cell_length_c 4.674
_cell_angle_alpha 90.00
_cell_angle_beta 90.00
_cell_angle_gamma 90.00
_symmetry_space_group_name_H-M 'P m -3 m'
_symmetry_Int_Tables_number 221
_symmetry_space_group_name_Hall '-P 4 2 3'
loop_
_atom_site_label
_atom_site_type_symbol
_atom_site_fract_x
_atom_site_fract_y
_atom_site_fract_z
K1 K 0.000 0.000 0.000
Li1 Li 0.500 0.500 0.500
Rh1 Rh 0.000 0.000 0.500
```

***

(6)
The following is a DFT calculation (GGA-PBEsol) of a relaxed structure of KLiRh2.

Energy of formation from the pure elements, eV per atom: 0.398
Energy above the most stable polymorph in this dataset, eV per formula unit: 0.000
Volume, A^3/atom: 15.90
Spin magnetization, Bohr magnetons per cell: 0.0

The structure in CIF format:
```
data_KLiRh2
_chemical_formula_sum 'K2 Li2 Rh4'
_cell_length_a 2.729
_cell_length_b 4.595
_cell_length_c 10.145
_cell_angle_alpha 90.00
_cell_angle_beta 90.00
_cell_angle_gamma 90.00
_symmetry_space_group_name_H-M 'I m m m'
_symmetry_Int_Tables_number 71
_symmetry_space_group_name_Hall '-I 2 2'
loop_
_atom_site_label
_atom_site_type_symbol
_atom_site_fract_x
_atom_site_fract_y
_atom_site_fract_z
K1 K 0.000 0.000 0.000
Li1 Li 0.000 0.000 0.500
Rh1 Rh 0.000 0.500 0.225
```

***

(7)
The following is a DFT calculation (GGA-PBEsol) of a relaxed structure of KLiRh.

Energy of formation from the pure elements, eV per atom: 0.406
Volume, A^3/atom: 20.95
Spin magnetization, Bohr magnetons per cell: 0.0

The structure in CIF format:
```
data_KLiRh
_chemical_formula_sum 'K2 Li2 Rh2'
_cell_length_a 2.673
_cell_length_b 4.223
_cell_length_c 11.139
_cell_angle_alpha 90.00
_cell_angle_beta 90.00
_cell_angle_gamma 90.00
_symmetry_space_group_name_H-M 'I m m 2'
_symmetry_Int_Tables_number 44
loop_
_symmetry_equiv_pos_as_xyz
'x,y,z'
'-x,-y,z'
'-x,y,z'
'x,-y,z'
'x+1/2,y+1/2,z+1/2'
'-x+1/2,-y+1/2,z+1/2'
'-x+1/2,y+1/2,z+1/2'
'x+1/2,-y+1/2,z+1/2'
loop_
_atom_site_label
_atom_site_type_symbol
_atom_site_fract_x
_atom_site_fract_y
_atom_site_fract_z
K1 K 0.000 0.000 0.000
Li1 Li 0.000 0.000 0.731
Rh1 Rh 0.000 0.000 0.292
```

***

(8)
The following is a DFT calculation (GGA-PBEsol) of a relaxed structure of KLiRh2.

Energy of formation from the pure elements, eV per atom: 0.511
Energy above the most stable polymorph in this dataset, eV per formula unit: 0.454
Volume, A^3/atom: 16.16
Spin magnetization, Bohr magnetons per cell: 0.8

The structure in CIF format:
```
data_KLiRh2
_chemical_formula_sum 'K1 Li1 Rh2'
_cell_length_a 2.639
_cell_length_b 2.639
_cell_length_c 9.280
_cell_angle_alpha 90.00
_cell_angle_beta 90.00
_cell_angle_gamma 90.00
_symmetry_space_group_name_H-M 'P 4/m m m'
_symmetry_Int_Tables_number 123
_symmetry_space_group_name_Hall '-P 4 2'
loop_
_atom_site_label
_atom_site_type_symbol
_atom_site_fract_x
_atom_site_fract_y
_atom_site_fract_z
K1 K 0.000 0.000 0.000
Li1 Li 0.000 0.000 0.500
Rh1 Rh 0.500 0.500 0.288
```